# Rb4Sm3YSe8, optimized geometry, DFT PBE
data_Rb4Sm3YSe8
_chemical_formula_sum 'Rb12 Sm9 Y3 Se24'
_cell_length_a 8.6140
_cell_length_b 8.6140
_cell_length_c 24.0296
_cell_angle_alpha 90.00
_cell_angle_beta 90.00
_cell_angle_gamma 120.00
_space_group_name_H-M_alt 'R -3 m'
_space_group_IT_number 166
_space_group_name_Hall '-R 3 2"'
loop_
_atom_site_label
_atom_site_fract_x
_atom_site_fract_y
_atom_site_fract_z
_atom_site_occupancy
Rb1 0.0000 0.0000 0.0000 1
Rb2 0.0000 0.5000 0.0000 1
Sm1 0.0000 0.5000 0.5000 1
Y1 0.0000 0.0000 0.5000 1
Se1 0.0000 0.0000 0.2332 1
Se2 0.0042 0.5021 0.2326 1
# crystal system: trigonal
# ρ: 4.88 g/cm3
# E_tot: -5.013 eV per atom

# Rb3Sm3YSe8, optimized geometry, DFT PBE
data_Rb3Sm3YSe8
_chemical_formula_sum 'Rb6 Sm6 Y2 Se16'
_cell_length_a 14.726
_cell_length_b 8.502
_cell_length_c 9.548
_cell_angle_alpha 90.00
_cell_angle_beta 120.95
_cell_angle_gamma 90.00
_space_group_name_H-M_alt 'C 1 2/m 1'
_space_group_IT_number 12
_space_group_name_Hall '-C 2y'
loop_
_atom_site_label
_atom_site_fract_x
_atom_site_fract_y
_atom_site_fract_z
_atom_site_occupancy
Rb1 0.000 0.000 0.000 1
Rb2 0.250 0.250 0.000 1
Sm1 0.000 0.500 0.500 1
Sm2 0.250 0.250 0.500 1
Y1 0.000 0.000 0.500 1
Se1 0.017 0.247 0.306 1
Se2 0.229 0.000 0.694 1
Se3 0.234 0.500 0.699 1
# crystal system: monoclinic
# ρ: 4.63 g/cm3
# E_tot: -5.090 eV per atom

# Rb2SmYSe4, optimized geometry, DFT PBE
data_Rb2SmYSe4
_chemical_formula_sum 'Rb2 Sm1 Y1 Se4'
_cell_length_a 7.424
_cell_length_b 4.287
_cell_length_c 8.376
_cell_angle_alpha 90.00
_cell_angle_beta 107.17
_cell_angle_gamma 90.00
_space_group_name_H-M_alt 'P 1 2/m 1'
_space_group_IT_number 10
_space_group_name_Hall '-P 2y'
loop_
_atom_site_label
_atom_site_fract_x
_atom_site_fract_y
_atom_site_fract_z
_atom_site_occupancy
Rb1 0.000 0.000 0.000 1
Rb2 0.500 0.500 0.000 1
Sm1 0.000 0.500 0.500 1
Y1 0.500 0.000 0.500 1
Se1 0.237 0.000 0.698 1
Se2 0.272 0.500 0.303 1
# crystal system: monoclinic
# ρ: 4.73 g/cm3
# E_tot: -5.124 eV per atom